(1)
A relaxed structure of Pm5SiSe4. Source: the Open Quantum Materials Database, functional PBE.

Output
- Magnetization: 0.0 μB/cell
- VASP energy: -5.992 eV per atom
- Crystal system: tetragonal

a b c (Å): 7.3030 7.3030 7.3030
angles (deg): 99.51 99.51 132.02
Last column: nearest neighbours and their distance in Å.
Sites, in units of the cell vectors:
Pm1 0.5012 0.5012 0.0000  2 Si 2.97, 4 Se 2.99
Pm2 0.2913 0.9049 0.1942  1 Si 2.89, 5 Se 2.97-3.06
Pm3 0.0971 0.2912 0.3864  1 Si 2.89, 5 Se 2.97-3.06
Pm4 0.9049 0.7107 0.6136  1 Si 2.89, 5 Se 2.97-3.06
Pm5 0.7107 0.0971 0.8058  1 Si 2.89, 5 Se 2.97-3.06
Se1 0.8025 0.4027 0.2032  6 Pm 2.97-3.06
Se2 0.5993 0.8025 0.3998  6 Pm 2.97-3.06
Se3 0.4026 0.1995 0.6002  6 Pm 2.97-3.06
Se4 0.1995 0.5993 0.7968  6 Pm 2.97-3.06
Si1 0.0012 0.0012 0.0000  6 Pm 2.89-2.97


(2)
A relaxed structure of Pm6SmSe8. Source: the Open Quantum Materials Database, functional PBE.

Output
- Magnetization: 0.0 μB/cell
- VASP energy: -5.954 eV per atom
- Crystal system: cubic

a b c (Å): 8.3477 8.3477 8.3477
angles (deg): 60.00 60.00 60.00
Last column: nearest neighbours and their distance in Å.
Sites, in units of the cell vectors:
Pm1 0.5000 0.0000 0.0000  6 Se 2.95
Pm2 0.0000 0.5000 0.0000  6 Se 2.95
Pm3 0.5000 0.5000 0.0000  6 Se 2.95
Pm4 0.5000 0.0000 0.5000  6 Se 2.95
Pm5 0.0000 0.5000 0.5000  6 Se 2.95
Pm6 0.0000 0.0000 0.5000  6 Se 2.95
Se1 0.2500 0.2500 0.2500  6 Pm 2.95
Se2 0.7481 0.7481 0.2519  4 Pm 2.95, 1 Sm 2.97
Se3 0.2519 0.7481 0.2519  4 Pm 2.95, 1 Sm 2.97
Se4 0.7481 0.2519 0.2519  4 Pm 2.95, 1 Sm 2.97
Se5 0.2519 0.2519 0.7481  4 Pm 2.95, 1 Sm 2.97
Se6 0.7481 0.2519 0.7481  4 Pm 2.95, 1 Sm 2.97
Se7 0.2519 0.7481 0.7481  4 Pm 2.95, 1 Sm 2.97
Se8 0.7500 0.7500 0.7500  6 Pm 2.95
Sm1 0.0000 0.0000 0.0000  6 Se 2.97


(3)
A relaxed structure of PmSmSe2. Source: the Open Quantum Materials Database, functional PBE.

Output
- Magnetization: 0.0 μB/cell
- VASP energy: -5.935 eV per atom
- Crystal system: tetragonal

a b c (Å): 4.1754 4.1754 5.9092
angles (deg): 90.00 90.00 90.00
Last column: nearest neighbours and their distance in Å.
Sites, in units of the cell vectors:
Pm1 0.5000 0.5000 0.5000  6 Se 2.95
Se1 0.5000 0.5000 0.0000  4 Sm 2.95, 2 Pm 2.95
Se2 0.0000 0.0000 0.5000  4 Pm 2.95, 2 Sm 2.95
Sm1 0.0000 0.0000 0.0000  6 Se 2.95


(4)
A relaxed structure of Pm5SmSe6. Source: the Open Quantum Materials Database, functional PBE.

Output
- Magnetization: 0.0 μB/cell
- VASP energy: -5.946 eV per atom
- Crystal system: monoclinic

a b c (Å): 7.2628 7.2628 7.2392
angles (deg): 99.64 99.64 120.14
Last column: nearest neighbours and their distance in Å.
Sites, in units of the cell vectors:
Pm1 0.6669 0.3331 0.0000  6 Se 2.96
Pm2 0.3331 0.6669 0.0000  6 Se 2.96
Pm3 0.8325 0.1675 0.5000  6 Se 2.96
Pm4 0.5000 0.5000 0.5000  6 Se 2.96-2.97
Pm5 0.1675 0.8325 0.5000  6 Se 2.96
Se1 0.4149 0.0831 0.2491  1 Sm 2.95, 5 Pm 2.96
Se2 0.0831 0.4149 0.2491  1 Sm 2.95, 5 Pm 2.96
Se3 0.7512 0.7512 0.2496  1 Sm 2.95, 5 Pm 2.96-2.97
Se4 0.2488 0.2488 0.7504  1 Sm 2.95, 5 Pm 2.96-2.97
Se5 0.9169 0.5851 0.7509  1 Sm 2.95, 5 Pm 2.96
Se6 0.5851 0.9169 0.7509  1 Sm 2.95, 5 Pm 2.96
Sm1 0.0000 0.0000 0.0000  6 Se 2.95


(5)
A relaxed structure of PmSnSe2. Source: the Open Quantum Materials Database, functional PBE.

Output
- Magnetization: 0.0 μB/cell
- VASP energy: -5.017 eV per atom
- Crystal system: tetragonal

a b c (Å): 4.2398 4.2398 6.0338
angles (deg): 90.00 90.00 90.00
Last column: nearest neighbours and their distance in Å.
Sites, in units of the cell vectors:
Pm1 0.0000 0.0000 0.5000  6 Se 3.00-3.02
Se1 0.0000 0.0000 0.0000  4 Sn 3.00, 2 Pm 3.02
Se2 0.5000 0.5000 0.5000  4 Pm 3.00, 2 Sn 3.02
Sn1 0.5000 0.5000 0.0000  6 Se 3.00-3.02


(6)
A relaxed structure of Pm5SnSe4. Source: the Open Quantum Materials Database, functional PBE.

Output
- Magnetization: 0.0 μB/cell
- VASP energy: -5.805 eV per atom
- Crystal system: tetragonal

a b c (Å): 7.3870 7.3870 7.3870
angles (deg): 99.57 99.57 131.87
Last column: nearest neighbours and their distance in Å.
Sites, in units of the cell vectors:
Pm1 0.5012 0.5012 0.0000  2 Sn 3.01, 4 Se 3.02
Pm2 0.3067 0.9010 0.2056  5 Se 2.99-3.01, 1 Sn 3.07
Pm3 0.1010 0.3067 0.4057  5 Se 2.99-3.01, 1 Sn 3.07
Pm4 0.9010 0.6953 0.5943  5 Se 2.99-3.01, 1 Sn 3.07
Pm5 0.6953 0.1010 0.7944  5 Se 2.99-3.01, 1 Sn 3.07
Se1 0.8006 0.3979 0.1965  6 Pm 2.99-3.02
Se2 0.6040 0.8006 0.4027  6 Pm 2.99-3.02
Se3 0.3979 0.2013 0.5973  6 Pm 2.99-3.02
Se4 0.2013 0.6040 0.8035  6 Pm 2.99-3.02
Sn1 0.0012 0.0012 0.0000  6 Pm 3.01-3.07


(7)
A relaxed structure of SrPmSe2. Source: the Open Quantum Materials Database, functional PBE.

Output
- Magnetization: 0.0 μB/cell
- VASP energy: -5.253 eV per atom
- Crystal system: tetragonal

a b c (Å): 4.2943 4.2943 6.0711
angles (deg): 90.00 90.00 90.00
Last column: nearest neighbours and their distance in Å.
Sites, in units of the cell vectors:
Pm1 0.0000 0.0000 0.0000  6 Se 3.04
Se1 0.5000 0.5000 0.0000  2 Sr 3.04, 4 Pm 3.04
Se2 0.0000 0.0000 0.5000  2 Pm 3.04, 4 Sr 3.04
Sr1 0.5000 0.5000 0.5000  6 Se 3.04


(8)
A relaxed structure of Tb5PmSe6. Source: the Open Quantum Materials Database, functional PBE.

Output
- Magnetization: 0.0 μB/cell
- VASP energy: -5.850 eV per atom
- Crystal system: monoclinic

a b c (Å): 7.1198 7.1198 7.0951
angles (deg): 99.63 99.63 120.10
Last column: nearest neighbours and their distance in Å.
Sites, in units of the cell vectors:
Pm1 0.0000 0.0000 0.0000  6 Se 2.94-2.96
Se1 0.7444 0.7444 0.2509  5 Tb 2.86-2.88, 1 Pm 2.94
Se2 0.4243 0.0843 0.2541  5 Tb 2.89-2.91, 1 Pm 2.96
Se3 0.0843 0.4243 0.2541  5 Tb 2.89-2.91, 1 Pm 2.96
Se4 0.9157 0.5757 0.7459  5 Tb 2.89-2.91, 1 Pm 2.96
Se5 0.5757 0.9157 0.7459  5 Tb 2.89-2.91, 1 Pm 2.96
Se6 0.2556 0.2556 0.7491  5 Tb 2.86-2.88, 1 Pm 2.94
Tb1 0.6657 0.3343 0.0000  6 Se 2.88-2.91
Tb2 0.3343 0.6657 0.0000  6 Se 2.88-2.91
Tb3 0.8377 0.1623 0.5000  6 Se 2.88-2.90
Tb4 0.5000 0.5000 0.5000  6 Se 2.86-2.91
Tb5 0.1623 0.8377 0.5000  6 Se 2.88-2.90


(9)
A relaxed structure of Pm6Te5Se. Source: the Open Quantum Materials Database, functional PBE.

Output
- Magnetization: 0.0 μB/cell
- VASP energy: -5.461 eV per atom
- Crystal system: monoclinic

a b c (Å): 7.6662 7.6662 7.6589
angles (deg): 99.50 99.50 119.94
Last column: nearest neighbours and their distance in Å.
Sites, in units of the cell vectors:
Pm1 0.3810 0.0745 0.2293  1 Se 2.87, 4 Te 3.14-3.16
Pm2 0.0745 0.3810 0.2293  1 Se 2.87, 4 Te 3.14-3.16
Pm3 0.7757 0.7757 0.2393  1 Se 2.90, 4 Te 3.17-3.19
Pm4 0.2243 0.2243 0.7607  1 Se 2.90, 4 Te 3.17-3.19
Pm5 0.9255 0.6190 0.7707  1 Se 2.87, 4 Te 3.14-3.16
Pm6 0.6190 0.9255 0.7707  1 Se 2.87, 4 Te 3.14-3.16
Se1 0.0000 0.0000 0.0000  6 Pm 2.87-2.90
Te1 0.6641 0.3359 0.0000  6 Pm 3.14-3.17
Te2 0.3359 0.6641 0.0000  6 Pm 3.14-3.17
Te3 0.8236 0.1764 0.5000  6 Pm 3.14-3.31
Te4 0.5000 0.5000 0.5000  6 Pm 3.15-3.35
Te5 0.1764 0.8236 0.5000  6 Pm 3.14-3.31


(10)
A relaxed structure of Pm4ThSe5. Source: the Open Quantum Materials Database, functional PBE.

Output
- Magnetization: 0.0 μB/cell
- VASP energy: -6.157 eV per atom
- Crystal system: trigonal

a b c (Å): 17.5516 17.5516 17.5516
angles (deg): 13.63 13.63 13.63
Last column: nearest neighbours and their distance in Å.
Sites, in units of the cell vectors:
Pm1 0.1002 0.1002 0.1002  6 Se 2.94-2.99
Pm2 0.3006 0.3006 0.3006  6 Se 2.95-2.97
Pm3 0.6994 0.6994 0.6994  6 Se 2.95-2.97
Pm4 0.8998 0.8998 0.8998  6 Se 2.94-2.99
Se1 0.0000 0.0000 0.0000  6 Pm 2.95
Se2 0.2007 0.2007 0.2007  3 Pm 2.94, 3 Th 2.99
Se3 0.3997 0.3997 0.3997  6 Pm 2.97-2.99
Se4 0.6003 0.6003 0.6003  6 Pm 2.97-2.99
Se5 0.7993 0.7993 0.7993  3 Pm 2.94, 3 Th 2.99
Th1 0.5000 0.5000 0.5000  6 Se 2.99


(11)
A relaxed structure of PmTlSe2. Source: the Open Quantum Materials Database, functional PBE.

Output
- Magnetization: 0.0 μB/cell
- VASP energy: -4.906 eV per atom
- Crystal system: trigonal

a b c (Å): 4.2848 4.2848 8.1228
angles (deg): 105.31 105.31 60.01
Last column: nearest neighbours and their distance in Å.
Sites, in units of the cell vectors:
Pm1 0.0000 0.0000 0.0000  6 Se 2.96
Se1 0.7366 0.7366 0.2096  3 Pm 2.96
Se2 0.2634 0.2634 0.7904  3 Pm 2.96
Tl1 0.5000 0.5000 0.5000  6 Se 3.34


(12)
A relaxed structure of Pm4TmSe5. Source: the Open Quantum Materials Database, functional PBE.

Output
- Magnetization: 0.0 μB/cell
- VASP energy: -5.891 eV per atom
- Crystal system: trigonal

a b c (Å): 17.1690 17.1690 17.1690
angles (deg): 13.88 13.88 13.88
Last column: nearest neighbours and their distance in Å.
Sites, in units of the cell vectors:
Pm1 0.1014 0.1014 0.1014  6 Se 2.94-2.99
Pm2 0.2992 0.2992 0.2992  6 Se 2.95-2.96
Pm3 0.7008 0.7008 0.7008  6 Se 2.95-2.96
Pm4 0.8986 0.8986 0.8986  6 Se 2.94-2.99
Se1 0.0000 0.0000 0.0000  6 Pm 2.96
Se2 0.1969 0.1969 0.1969  3 Tm 2.85, 3 Pm 2.99
Se3 0.4012 0.4012 0.4012  6 Pm 2.94-2.95
Se4 0.5988 0.5988 0.5988  6 Pm 2.94-2.95
Se5 0.8031 0.8031 0.8031  3 Tm 2.85, 3 Pm 2.99
Tm1 0.5000 0.5000 0.5000  6 Se 2.85


(13)
A relaxed structure of Pm4YSe5. Source: the Open Quantum Materials Database, functional PBE.

Output
- Magnetization: 0.0 μB/cell
- VASP energy: -6.107 eV per atom
- Crystal system: tetragonal

a b c (Å): 15.0731 15.0731 15.0731
angles (deg): 164.13 164.13 22.52
Last column: nearest neighbours and their distance in Å.
Sites, in units of the cell vectors:
Pm1 0.1960 0.1960 0.0000  6 Se 2.94-3.01
Pm2 0.3981 0.3981 0.0000  6 Se 2.95-3.01
Pm3 0.6019 0.6019 0.0000  6 Se 2.95-3.01
Pm4 0.8040 0.8040 0.0000  6 Se 2.94-3.01
Se1 0.0966 0.0966 0.0000  1 Y 2.86, 5 Pm 2.94-2.95
Se2 0.2976 0.2976 0.0000  6 Pm 2.95-3.01
Se3 0.5000 0.5000 0.0000  4 Y 2.94, 2 Pm 3.01
Se4 0.7024 0.7024 0.0000  6 Pm 2.95-3.01
Se5 0.9034 0.9034 0.0000  1 Y 2.86, 5 Pm 2.94-2.95
Y1 0.0000 0.0000 0.0000  6 Se 2.86-2.94


(14)
A relaxed structure of Pm6YSe8. Source: the Open Quantum Materials Database, functional PBE.

Output
- Magnetization: 0.0 μB/cell
- VASP energy: -6.073 eV per atom
- Crystal system: cubic

a b c (Å): 8.3383 8.3383 8.3383
angles (deg): 60.00 60.00 60.00
Last column: nearest neighbours and their distance in Å.
Sites, in units of the cell vectors:
Pm1 0.5000 0.0000 0.0000  6 Se 2.95
Pm2 0.0000 0.5000 0.0000  6 Se 2.95
Pm3 0.5000 0.5000 0.0000  6 Se 2.95
Pm4 0.0000 0.0000 0.5000  6 Se 2.95
Pm5 0.5000 0.0000 0.5000  6 Se 2.95
Pm6 0.0000 0.5000 0.5000  6 Se 2.95
Se1 0.7520 0.2480 0.2480  1 Y 2.92, 4 Pm 2.95
Se2 0.2480 0.7520 0.2480  1 Y 2.92, 4 Pm 2.95
Se3 0.7520 0.7520 0.2480  1 Y 2.92, 4 Pm 2.95
Se4 0.2500 0.2500 0.2500  6 Pm 2.95
Se5 0.7500 0.7500 0.7500  6 Pm 2.95
Se6 0.7520 0.2480 0.7520  1 Y 2.92, 4 Pm 2.95
Se7 0.2480 0.7520 0.7520  1 Y 2.92, 4 Pm 2.95
Se8 0.2480 0.2480 0.7520  1 Y 2.92, 4 Pm 2.95
Y1 0.0000 0.0000 0.0000  6 Se 2.92


(15)
A relaxed structure of PmZn3Se. Source: the Open Quantum Materials Database, functional PBE.

Output
- Magnetization: 0.0 μB/cell
- VASP energy: -2.155 eV per atom
- Crystal system: cubic

a b c (Å): 4.9255 4.9255 4.9255
angles (deg): 90.00 90.00 90.00
Last column: nearest neighbours and their distance in Å.
Sites, in units of the cell vectors:
Pm1 0.0000 0.0000 0.0000  12 Zn 3.48
Se1 0.5000 0.5000 0.5000  6 Zn 2.46
Zn1 0.5000 0.5000 0.0000  2 Se 2.46
Zn2 0.5000 0.0000 0.5000  2 Se 2.46
Zn3 0.0000 0.5000 0.5000  2 Se 2.46


(16)
A relaxed structure of PmSi. Source: the Open Quantum Materials Database, functional PBE.

Output
- Magnetization: 0.0 μB/cell
- VASP energy: -4.776 eV per atom
- Crystal system: cubic

a b c (Å): 4.6737 4.6737 4.6737
angles (deg): 60.00 60.00 60.00
Last column: nearest neighbours and their distance in Å.
Sites, in units of the cell vectors:
Pm1 0.0000 0.0000 0.0000  4 Si 2.86
Si1 0.2500 0.2500 0.2500  4 Pm 2.86


(17)
A relaxed structure of PmSi. Source: the Open Quantum Materials Database, functional PBE.

Output
- Magnetization: 0.0 μB/cell
- VASP energy: -5.527 eV per atom
- Crystal system: cubic

a b c (Å): 4.2242 4.2242 4.2242
angles (deg): 60.00 60.00 60.00
Last column: nearest neighbours and their distance in Å.
Sites, in units of the cell vectors:
Pm1 0.0000 0.0000 0.0000  6 Si 2.99
Si1 0.5000 0.5000 0.5000  6 Pm 2.99


(18)
A relaxed structure of PmSi. Source: the Open Quantum Materials Database, functional PBE.

Output
- Magnetization: 0.0 μB/cell
- VASP energy: -5.295 eV per atom
- Crystal system: hexagonal

a b c (Å): 3.7970 3.7970 4.2141
angles (deg): 90.00 90.00 120.00
Last column: nearest neighbours and their distance in Å.
Sites, in units of the cell vectors:
Pm1 0.6667 0.3333 0.7500  6 Si 3.04
Si1 0.3333 0.6667 0.2500  6 Pm 3.04


(19)
A relaxed structure of Pm5Si2Sn. Source: the Open Quantum Materials Database, functional PBE.

Output
- Magnetization: 2.1 μB/cell
- VASP energy: -5.481 eV per atom
- Crystal system: tetragonal

a b c (Å): 9.0834 9.0834 9.0834
angles (deg): 128.66 128.66 75.56
Last column: nearest neighbours and their distance in Å.
Sites, in units of the cell vectors:
Pm1 0.0000 0.0000 0.0000  4 Si 3.13
Pm2 0.5000 0.5000 0.0000  4 Si 3.13
Pm3 0.1880 0.6880 0.1545  3 Si 3.05-3.08, 2 Sn 3.32
Pm4 0.4664 0.9664 0.1545  3 Si 3.05-3.08, 2 Sn 3.32
Pm5 0.0336 0.1880 0.5000  3 Si 3.05-3.08, 2 Sn 3.32
Pm6 0.3120 0.4664 0.5000  3 Si 3.05-3.08, 2 Sn 3.32
Pm7 0.6880 0.5336 0.5000  3 Si 3.05-3.08, 2 Sn 3.32
Pm8 0.9664 0.8120 0.5000  3 Si 3.05-3.08, 2 Sn 3.32
Pm9 0.5336 0.0336 0.8455  3 Si 3.05-3.08, 2 Sn 3.32
Pm10 0.8120 0.3120 0.8455  3 Si 3.05-3.08, 2 Sn 3.32
Si1 0.8794 0.3794 0.2589  1 Si 2.68
Si2 0.3794 0.1206 0.5000  1 Si 2.68
Si3 0.6206 0.8794 0.5000  1 Si 2.68
Si4 0.1206 0.6206 0.7411  1 Si 2.68
Sn1 0.2500 0.2500 0.0000  10 Pm 3.32-3.59
Sn2 0.7500 0.7500 0.0000  10 Pm 3.32-3.59


(20)
A relaxed structure of Pm5SiSn3. Source: the Open Quantum Materials Database, functional PBE.

Output
- Magnetization: 0.1 μB/cell
- VASP energy: -5.324 eV per atom
- Crystal system: hexagonal

a b c (Å): 9.5056 9.5056 6.5938
angles (deg): 90.00 90.00 120.00
Last column: nearest neighbours and their distance in Å.
Sites, in units of the cell vectors:
Pm1 0.6667 0.3333 0.0000  2 Pm 3.30, 6 Sn 3.37
Pm2 0.3333 0.6667 0.0000  2 Pm 3.30, 6 Sn 3.37
Pm3 0.2528 0.0000 0.2500  2 Si 2.91, 2 Sn 3.25
Pm4 0.0000 0.2528 0.2500  2 Si 2.91, 2 Sn 3.25
Pm5 0.7472 0.7472 0.2500  2 Si 2.91, 2 Sn 3.25
Pm6 0.6667 0.3333 0.5000  2 Pm 3.30, 6 Sn 3.37
Pm7 0.3333 0.6667 0.5000  2 Pm 3.30, 6 Sn 3.37
Pm8 0.7472 0.0000 0.7500  2 Si 2.91, 2 Sn 3.25
Pm9 0.2528 0.2528 0.7500  2 Si 2.91, 2 Sn 3.25
Pm10 0.0000 0.7472 0.7500  2 Si 2.91, 2 Sn 3.25
Si1 0.0000 0.0000 0.0000  6 Pm 2.91
Si2 0.0000 0.0000 0.5000  6 Pm 2.91
Sn1 0.6106 0.0000 0.2500  9 Pm 3.25-3.54
Sn2 0.3894 0.3894 0.2500  9 Pm 3.25-3.54
Sn3 0.0000 0.6106 0.2500  9 Pm 3.25-3.54
Sn4 0.3894 0.0000 0.7500  9 Pm 3.25-3.54
Sn5 0.0000 0.3894 0.7500  9 Pm 3.25-3.54
Sn6 0.6106 0.6106 0.7500  9 Pm 3.25-3.54